Material: LaSiTe2
Method: DFT, PBE-GGA
State: optimized geometry

Cell and atoms, written as CIF:
```
data_LaSiTe2
_cell_length_a 4.055
_cell_length_b 4.055
_cell_length_c 6.709
_cell_angle_alpha 90.00
_cell_angle_beta 90.00
_cell_angle_gamma 90.00
_space_group_name_H-M_alt 'P 4/m m m'
_space_group_IT_number 123
_space_group_name_Hall '-P 4 2'
loop_
_atom_site_label
_atom_site_type_symbol
_atom_site_fract_x
_atom_site_fract_y
_atom_site_fract_z
La1 La 0.000 0.000 0.000
Si1 Si 0.000 0.000 0.500
Te1 Te 0.500 0.500 0.252
```

Properties
* formation energy (no corrections): -463 meV/atom
* calculated volume: 110 Å³/f.u.